P:
# MgMnNF2

An optimized crystal structure of MgMnNF2 (GGA+U, the Alexandria database).

Geometry as CIF:
```
data_MgMnNF2
_chemical_formula_sum 'Mg1 Mn1 N1 F2'
_symmetry_space_group_name_H-M 'P 4/m m m'
_symmetry_Int_Tables_number 123
_symmetry_space_group_name_Hall '-P 4 2'
_cell_length_a 3.552
_cell_length_b 3.552
_cell_length_c 8.904
_cell_angle_alpha 90.00
_cell_angle_beta 90.00
_cell_angle_gamma 90.00
loop_
_atom_site_label
_atom_site_type_symbol
_atom_site_fract_x
_atom_site_fract_y
_atom_site_fract_z
Mg1 Mg 0.000 0.000 0.000
Mn1 Mn 0.000 0.000 0.500
N1 N 0.500 0.500 0.500
F1 F 0.000 0.500 0.000
```

Values from the calculation:
M_tot (μB/f.u.): 4.00
Volume (Å³/atom): 22.5

Q:
# MgMnNF2

An optimized crystal structure of MgMnNF2 (GGA+U, the Alexandria database).

Geometry as CIF:
```
data_MgMnNF2
_chemical_formula_sum 'Mg1 Mn1 N1 F2'
_symmetry_space_group_name_H-M 'P 4/m m m'
_symmetry_Int_Tables_number 123
_symmetry_space_group_name_Hall '-P 4 2'
_cell_length_a 3.965
_cell_length_b 3.965
_cell_length_c 4.023
_cell_angle_alpha 90.00
_cell_angle_beta 90.00
_cell_angle_gamma 90.00
loop_
_atom_site_label
_atom_site_type_symbol
_atom_site_fract_x
_atom_site_fract_y
_atom_site_fract_z
Mg1 Mg 0.000 0.000 0.000
Mn1 Mn 0.500 0.500 0.500
N1 N 0.500 0.500 0.000
F1 F 0.000 0.500 0.500
```

Values from the calculation:
M_tot (μB/f.u.): 3.99
Volume (Å³/atom): 12.7

Which structure is the most stable? The one labeled Q.

P:
# MgMn6O5F7

An optimized crystal structure of MgMn6O5F7 (GGA+U, the Alexandria database).

Geometry as CIF:
```
data_MgMn6O5F7
_chemical_formula_sum 'Mg1 Mn6 O5 F7'
_symmetry_space_group_name_H-M 'P 1'
_symmetry_Int_Tables_number 1
_symmetry_space_group_name_Hall 'P 1'
_cell_length_a 5.886
_cell_length_b 6.070
_cell_length_c 7.406
_cell_angle_alpha 69.64
_cell_angle_beta 73.93
_cell_angle_gamma 77.88
loop_
_atom_site_label
_atom_site_type_symbol
_atom_site_fract_x
_atom_site_fract_y
_atom_site_fract_z
Mg1 Mg 0.000 0.000 0.000
Mn1 Mn 0.017 0.503 0.987
Mn2 Mn 0.041 0.474 0.489
Mn3 Mn 0.355 0.875 0.652
Mn4 Mn 0.394 0.814 0.155
Mn5 Mn 0.622 0.213 0.823
Mn6 Mn 0.636 0.176 0.324
O1 O 0.115 0.663 0.184
O2 O 0.297 0.208 0.475
O3 O 0.377 0.995 0.880
O4 O 0.626 0.040 0.102
O5 O 0.917 0.340 0.797
F1 F 0.017 0.156 0.188
F2 F 0.298 0.724 0.451
F3 F 0.374 0.516 0.829
F4 F 0.657 0.531 0.137
F5 F 0.719 0.818 0.507
F6 F 0.723 0.302 0.529
F7 F 0.974 0.858 0.805
```

Values from the calculation:
M_tot (μB/f.u.): 27.00
Volume (Å³/atom): 12.4

Q:
# MgMn6O5F7

An optimized crystal structure of MgMn6O5F7 (GGA+U, the Alexandria database).

Geometry as CIF:
```
data_MgMn6O5F7
_chemical_formula_sum 'Mg1 Mn6 O5 F7'
_symmetry_space_group_name_H-M 'P 1'
_symmetry_Int_Tables_number 1
_symmetry_space_group_name_Hall 'P 1'
_cell_length_a 5.990
_cell_length_b 6.137
_cell_length_c 7.743
_cell_angle_alpha 67.12
_cell_angle_beta 69.58
_cell_angle_gamma 73.01
loop_
_atom_site_label
_atom_site_type_symbol
_atom_site_fract_x
_atom_site_fract_y
_atom_site_fract_z
Mg1 Mg 0.000 0.000 0.000
Mn1 Mn 0.025 0.485 0.013
Mn2 Mn 0.341 0.781 0.672
Mn3 Mn 0.369 0.750 0.181
Mn4 Mn 0.633 0.120 0.771
Mn5 Mn 0.703 0.119 0.338
Mn6 Mn 0.989 0.535 0.530
O1 O 0.097 0.598 0.732
O2 O 0.246 0.704 0.960
O3 O 0.590 0.960 0.612
O4 O 0.794 0.291 0.064
O5 O 0.976 0.857 0.296
F1 F 0.015 0.134 0.713
F2 F 0.296 0.132 0.981
F3 F 0.408 0.884 0.384
F4 F 0.409 0.398 0.370
F5 F 0.628 0.480 0.652
F6 F 0.729 0.836 0.022
F7 F 0.955 0.383 0.301
```

Values from the calculation:
M_tot (μB/f.u.): 27.00
Volume (Å³/atom): 12.7

Which structure is the most stable? The one labeled Q.

P:
# MgMn6O5F7

An optimized crystal structure of MgMn6O5F7 (GGA+U, the Alexandria database).

Geometry as CIF:
```
data_MgMn6O5F7
_chemical_formula_sum 'Mg2 Mn12 O10 F14'
_symmetry_space_group_name_H-M 'C 1 2 1'
_symmetry_Int_Tables_number 5
_symmetry_space_group_name_Hall 'C 2y'
_cell_length_a 9.195
_cell_length_b 7.303
_cell_length_c 7.088
_cell_angle_alpha 90.00
_cell_angle_beta 105.57
_cell_angle_gamma 90.00
loop_
_atom_site_label
_atom_site_type_symbol
_atom_site_fract_x
_atom_site_fract_y
_atom_site_fract_z
Mg1 Mg 0.000 0.000 0.000
Mn1 Mn 0.000 0.167 0.500
Mn2 Mn 0.000 0.371 0.000
Mn3 Mn 0.142 0.706 0.660
Mn4 Mn 0.197 0.705 0.156
O1 O 0.000 0.876 0.500
O2 O 0.051 0.726 0.870
O3 O 0.081 0.186 0.827
F1 F 0.000 0.486 0.500
F2 F 0.199 0.418 0.199
F3 F 0.208 0.005 0.188
F4 F 0.238 0.198 0.537
```

Values from the calculation:
M_tot (μB/f.u.): 27.00
Volume (Å³/atom): 12.1

Q:
# MgMn6O5F7

An optimized crystal structure of MgMn6O5F7 (GGA+U, the Alexandria database).

Geometry as CIF:
```
data_MgMn6O5F7
_chemical_formula_sum 'Mg2 Mn12 O10 F14'
_symmetry_space_group_name_H-M 'C 1 2 1'
_symmetry_Int_Tables_number 5
_symmetry_space_group_name_Hall 'C 2y'
_cell_length_a 10.702
_cell_length_b 6.543
_cell_length_c 6.612
_cell_angle_alpha 90.00
_cell_angle_beta 101.93
_cell_angle_gamma 90.00
loop_
_atom_site_label
_atom_site_type_symbol
_atom_site_fract_x
_atom_site_fract_y
_atom_site_fract_z
Mg1 Mg 0.000 0.000 0.000
Mn1 Mn 0.000 0.520 0.000
Mn2 Mn 0.000 0.733 0.500
Mn3 Mn 0.151 0.277 0.639
Mn4 Mn 0.241 0.763 0.887
O1 O 0.000 0.443 0.500
O2 O 0.044 0.742 0.816
O3 O 0.084 0.285 0.897
F1 F 0.000 0.038 0.500
F2 F 0.181 0.971 0.159
F3 F 0.214 0.570 0.179
F4 F 0.221 0.757 0.551
```

Values from the calculation:
M_tot (μB/f.u.): 27.00
Volume (Å³/atom): 11.9

R:
# MgMn6O5F7

An optimized crystal structure of MgMn6O5F7 (GGA+U, the Alexandria database).

Geometry as CIF:
```
data_MgMn6O5F7
_chemical_formula_sum 'Mg1 Mn6 O5 F7'
_symmetry_space_group_name_H-M 'P 1'
_symmetry_Int_Tables_number 1
_symmetry_space_group_name_Hall 'P 1'
_cell_length_a 5.932
_cell_length_b 6.130
_cell_length_c 7.498
_cell_angle_alpha 68.91
_cell_angle_beta 72.53
_cell_angle_gamma 77.41
loop_
_atom_site_label
_atom_site_type_symbol
_atom_site_fract_x
_atom_site_fract_y
_atom_site_fract_z
Mg1 Mg 0.000 0.000 0.000
Mn1 Mn 0.315 0.795 0.657
Mn2 Mn 0.371 0.749 0.198
Mn3 Mn 0.583 0.182 0.845
Mn4 Mn 0.629 0.181 0.378
Mn5 Mn 0.929 0.491 0.001
Mn6 Mn 0.967 0.474 0.525
O1 O 0.224 0.662 0.471
O2 O 0.360 0.941 0.921
O3 O 0.603 0.493 0.174
O4 O 0.705 0.299 0.562
O5 O 0.872 0.328 0.823
F1 F 0.016 0.646 0.203
F2 F 0.257 0.163 0.499
F3 F 0.303 0.462 0.883
F4 F 0.619 0.021 0.136
F5 F 0.678 0.818 0.528
F6 F 0.941 0.850 0.831
F7 F 0.999 0.136 0.199
```

Values from the calculation:
M_tot (μB/f.u.): 17.00
Volume (Å³/atom): 12.7

Which structure is the most stable? The one labeled Q.

P:
# MgMn8O13F3

An optimized crystal structure of MgMn8O13F3 (GGA+U, the Alexandria database).

Geometry as CIF:
```
data_MgMn8O13F3
_chemical_formula_sum 'Mg1 Mn8 O13 F3'
_symmetry_space_group_name_H-M 'P 1'
_symmetry_Int_Tables_number 1
_symmetry_space_group_name_Hall 'P 1'
_cell_length_a 5.872
_cell_length_b 6.627
_cell_length_c 7.045
_cell_angle_alpha 93.67
_cell_angle_beta 95.47
_cell_angle_gamma 90.24
loop_
_atom_site_label
_atom_site_type_symbol
_atom_site_fract_x
_atom_site_fract_y
_atom_site_fract_z
Mg1 Mg 0.000 0.000 0.000
Mn1 Mn 0.241 0.498 0.978
Mn2 Mn 0.266 0.024 0.475
Mn3 Mn 0.447 0.014 0.971
Mn4 Mn 0.466 0.501 0.475
Mn5 Mn 0.723 0.755 0.246
Mn6 Mn 0.741 0.254 0.716
Mn7 Mn 0.940 0.298 0.281
Mn8 Mn 0.954 0.731 0.697
O1 O 0.201 0.777 0.913
O2 O 0.225 0.306 0.444
O3 O 0.232 0.221 0.032
O4 O 0.485 0.548 0.201
O5 O 0.487 0.058 0.703
O6 O 0.489 0.957 0.235
O7 O 0.518 0.463 0.738
O8 O 0.691 0.299 0.456
O9 O 0.700 0.711 0.502
O10 O 0.958 0.028 0.706
O11 O 0.958 0.560 0.207
O12 O 0.980 0.996 0.285
O13 O 0.987 0.456 0.768
F1 F 0.242 0.727 0.515
F2 F 0.724 0.812 0.966
F3 F 0.753 0.215 0.006
```

Values from the calculation:
M_tot (μB/f.u.): 29.00
Volume (Å³/atom): 10.9

Q:
# MgMn8O13F3

An optimized crystal structure of MgMn8O13F3 (GGA+U, the Alexandria database).

Geometry as CIF:
```
data_MgMn8O13F3
_chemical_formula_sum 'Mg1 Mn8 O13 F3'
_symmetry_space_group_name_H-M 'P 1'
_symmetry_Int_Tables_number 1
_symmetry_space_group_name_Hall 'P 1'
_cell_length_a 5.660
_cell_length_b 6.876
_cell_length_c 6.947
_cell_angle_alpha 93.95
_cell_angle_beta 90.89
_cell_angle_gamma 90.07
loop_
_atom_site_label
_atom_site_type_symbol
_atom_site_fract_x
_atom_site_fract_y
_atom_site_fract_z
Mg1 Mg 0.000 0.000 0.000
Mn1 Mn 0.238 0.013 0.503
Mn2 Mn 0.242 0.485 0.979
Mn3 Mn 0.424 0.510 0.499
Mn4 Mn 0.483 0.976 0.977
Mn5 Mn 0.720 0.756 0.269
Mn6 Mn 0.731 0.242 0.739
Mn7 Mn 0.877 0.273 0.269
Mn8 Mn 0.971 0.734 0.728
O1 O 0.000 0.698 0.006
O2 O 0.206 0.534 0.709
O3 O 0.221 0.935 0.782
O4 O 0.471 0.792 0.453
O5 O 0.478 0.261 0.934
O6 O 0.481 0.228 0.538
O7 O 0.496 0.718 0.052
O8 O 0.678 0.495 0.314
O9 O 0.734 0.017 0.185
O10 O 0.741 0.954 0.794
O11 O 0.952 0.287 0.973
O12 O 0.970 0.204 0.525
O13 O 0.988 0.798 0.464
F1 F 0.193 0.444 0.260
F2 F 0.242 0.047 0.196
F3 F 0.720 0.540 0.706
```

Values from the calculation:
M_tot (μB/f.u.): 29.00
Volume (Å³/atom): 10.8

R:
# MgMn8O13F3

An optimized crystal structure of MgMn8O13F3 (GGA+U, the Alexandria database).

Geometry as CIF:
```
data_MgMn8O13F3
_chemical_formula_sum 'Mg1 Mn8 O13 F3'
_symmetry_space_group_name_H-M 'P 1'
_symmetry_Int_Tables_number 1
_symmetry_space_group_name_Hall 'P 1'
_cell_length_a 5.676
_cell_length_b 6.809
_cell_length_c 6.960
_cell_angle_alpha 94.71
_cell_angle_beta 91.98
_cell_angle_gamma 91.03
loop_
_atom_site_label
_atom_site_type_symbol
_atom_site_fract_x
_atom_site_fract_y
_atom_site_fract_z
Mg1 Mg 0.000 0.000 0.000
Mn1 Mn 0.012 0.271 0.291
Mn2 Mn 0.035 0.718 0.725
Mn3 Mn 0.210 0.740 0.261
Mn4 Mn 0.271 0.227 0.738
Mn5 Mn 0.520 0.977 0.988
Mn6 Mn 0.530 0.495 0.516
Mn7 Mn 0.734 0.485 0.999
Mn8 Mn 0.745 0.000 0.512
O1 O 0.017 0.021 0.705
O2 O 0.248 0.789 0.979
O3 O 0.266 0.687 0.526
O4 O 0.281 0.291 0.474
O5 O 0.286 0.179 0.007
O6 O 0.504 0.442 0.779
O7 O 0.511 0.037 0.712
O8 O 0.760 0.280 0.469
O9 O 0.771 0.209 0.062
O10 O 0.771 0.709 0.542
O11 O 0.771 0.768 0.941
O12 O 0.990 0.524 0.200
O13 O 0.996 0.986 0.302
F1 F 0.025 0.429 0.792
F2 F 0.498 0.536 0.235
F3 F 0.502 0.936 0.288
```

Values from the calculation:
M_tot (μB/f.u.): 29.00
Volume (Å³/atom): 10.7

Which structure is the most stable? The one labeled R.

P:
# MgMn8O13F3

An optimized crystal structure of MgMn8O13F3 (GGA+U, the Alexandria database).

Geometry as CIF:
```
data_MgMn8O13F3
_chemical_formula_sum 'Mg1 Mn8 O13 F3'
_symmetry_space_group_name_H-M 'P 1'
_symmetry_Int_Tables_number 1
_symmetry_space_group_name_Hall 'P 1'
_cell_length_a 5.683
_cell_length_b 6.854
_cell_length_c 6.971
_cell_angle_alpha 93.83
_cell_angle_beta 93.32
_cell_angle_gamma 90.57
loop_
_atom_site_label
_atom_site_type_symbol
_atom_site_fract_x
_atom_site_fract_y
_atom_site_fract_z
Mg1 Mg 0.000 0.000 0.000
Mn1 Mn 0.225 0.011 0.494
Mn2 Mn 0.234 0.506 0.993
Mn3 Mn 0.392 0.508 0.491
Mn4 Mn 0.484 0.980 0.966
Mn5 Mn 0.720 0.263 0.750
Mn6 Mn 0.731 0.737 0.227
Mn7 Mn 0.912 0.276 0.265
Mn8 Mn 0.949 0.739 0.721
O1 O 0.185 0.732 0.533
O2 O 0.187 0.283 0.440
O3 O 0.220 0.789 0.923
O4 O 0.463 0.540 0.215
O5 O 0.465 0.455 0.766
O6 O 0.482 0.052 0.704
O7 O 0.498 0.936 0.231
O8 O 0.732 0.193 0.012
O9 O 0.735 0.798 0.943
O10 O 0.962 0.029 0.703
O11 O 0.971 0.532 0.188
O12 O 0.971 0.985 0.283
O13 O 0.976 0.467 0.785
F1 F 0.248 0.197 0.027
F2 F 0.677 0.304 0.475
F3 F 0.691 0.697 0.519
```

Values from the calculation:
M_tot (μB/f.u.): 29.00
Volume (Å³/atom): 10.8

Q:
# MgMn8O13F3

An optimized crystal structure of MgMn8O13F3 (GGA+U, the Alexandria database).

Geometry as CIF:
```
data_MgMn8O13F3
_chemical_formula_sum 'Mg1 Mn8 O13 F3'
_symmetry_space_group_name_H-M 'P 1'
_symmetry_Int_Tables_number 1
_symmetry_space_group_name_Hall 'P 1'
_cell_length_a 5.785
_cell_length_b 6.552
_cell_length_c 7.297
_cell_angle_alpha 92.48
_cell_angle_beta 96.90
_cell_angle_gamma 92.57
loop_
_atom_site_label
_atom_site_type_symbol
_atom_site_fract_x
_atom_site_fract_y
_atom_site_fract_z
Mg1 Mg 0.000 0.000 0.000
Mn1 Mn 0.032 0.731 0.683
Mn2 Mn 0.246 0.504 0.005
Mn3 Mn 0.430 0.032 0.481
Mn4 Mn 0.462 0.525 0.476
Mn5 Mn 0.486 0.017 0.992
Mn6 Mn 0.744 0.286 0.766
Mn7 Mn 0.744 0.742 0.236
Mn8 Mn 0.926 0.301 0.291
O1 O 0.013 0.469 0.787
O2 O 0.219 0.316 0.444
O3 O 0.227 0.796 0.931
O4 O 0.256 0.215 0.036
O5 O 0.285 0.763 0.510
O6 O 0.489 0.087 0.742
O7 O 0.499 0.541 0.218
O8 O 0.524 0.956 0.247
O9 O 0.669 0.285 0.489
O10 O 0.712 0.809 0.987
O11 O 0.754 0.214 0.030
O12 O 0.755 0.703 0.499
O13 O 0.980 0.558 0.196
F1 F 0.488 0.509 0.745
F2 F 0.962 0.026 0.720
F3 F 0.988 0.981 0.279
```

Values from the calculation:
M_tot (μB/f.u.): 29.00
Volume (Å³/atom): 11.0

R:
# MgMn8O13F3

An optimized crystal structure of MgMn8O13F3 (GGA+U, the Alexandria database).

Geometry as CIF:
```
data_MgMn8O13F3
_chemical_formula_sum 'Mg1 Mn8 O13 F3'
_symmetry_space_group_name_H-M 'P 1'
_symmetry_Int_Tables_number 1
_symmetry_space_group_name_Hall 'P 1'
_cell_length_a 5.727
_cell_length_b 6.636
_cell_length_c 7.117
_cell_angle_alpha 93.11
_cell_angle_beta 95.19
_cell_angle_gamma 91.27
loop_
_atom_site_label
_atom_site_type_symbol
_atom_site_fract_x
_atom_site_fract_y
_atom_site_fract_z
Mg1 Mg 0.000 0.000 0.000
Mn1 Mn 0.240 0.012 0.491
Mn2 Mn 0.309 0.492 0.975
Mn3 Mn 0.443 0.511 0.485
Mn4 Mn 0.475 0.003 0.971
Mn5 Mn 0.720 0.242 0.729
Mn6 Mn 0.739 0.753 0.250
Mn7 Mn 0.915 0.276 0.276
Mn8 Mn 0.959 0.739 0.702
O1 O 0.192 0.299 0.451
O2 O 0.217 0.725 0.520
O3 O 0.221 0.781 0.924
O4 O 0.258 0.212 0.012
O5 O 0.485 0.041 0.711
O6 O 0.489 0.546 0.221
O7 O 0.495 0.455 0.752
O8 O 0.675 0.297 0.474
O9 O 0.705 0.710 0.513
O10 O 0.713 0.805 0.983
O11 O 0.733 0.200 0.011
O12 O 0.958 0.032 0.707
O13 O 0.976 0.987 0.286
F1 F 0.463 0.972 0.244
F2 F 0.977 0.453 0.779
F3 F 0.989 0.533 0.178
```

Values from the calculation:
M_tot (μB/f.u.): 29.00
Volume (Å³/atom): 10.8

Which structure is the most stable? The one labeled Q.

P:
# MgMnOF2

An optimized crystal structure of MgMnOF2 (GGA+U, the Alexandria database).

Geometry as CIF:
```
data_MgMnOF2
_chemical_formula_sum 'Mg1 Mn1 O1 F2'
_symmetry_space_group_name_H-M 'P 4/m m m'
_symmetry_Int_Tables_number 123
_symmetry_space_group_name_Hall '-P 4 2'
_cell_length_a 4.056
_cell_length_b 4.056
_cell_length_c 4.054
_cell_angle_alpha 90.00
_cell_angle_beta 90.00
_cell_angle_gamma 90.00
loop_
_atom_site_label
_atom_site_type_symbol
_atom_site_fract_x
_atom_site_fract_y
_atom_site_fract_z
Mg1 Mg 0.000 0.000 0.000
Mn1 Mn 0.500 0.500 0.500
O1 O 0.500 0.500 0.000
F1 F 0.000 0.500 0.500
```

Values from the calculation:
M_tot (μB/f.u.): 4.74
Volume (Å³/atom): 13.3

Q:
# MgMnOF2

An optimized crystal structure of MgMnOF2 (GGA+U, the Alexandria database).

Geometry as CIF:
```
data_MgMnOF2
_chemical_formula_sum 'Mg1 Mn1 O1 F2'
_symmetry_space_group_name_H-M 'P 4/m m m'
_symmetry_Int_Tables_number 123
_symmetry_space_group_name_Hall '-P 4 2'
_cell_length_a 3.733
_cell_length_b 3.733
_cell_length_c 4.191
_cell_angle_alpha 90.00
_cell_angle_beta 90.00
_cell_angle_gamma 90.00
loop_
_atom_site_label
_atom_site_type_symbol
_atom_site_fract_x
_atom_site_fract_y
_atom_site_fract_z
Mg1 Mg 0.000 0.000 0.000
Mn1 Mn 0.500 0.500 0.500
O1 O 0.000 0.000 0.500
F1 F 0.000 0.500 0.000
```

Values from the calculation:
M_tot (μB/f.u.): 5.00
Volume (Å³/atom): 11.7

Which structure is the most stable? The one labeled Q.